# 1
12
Lattice="5.739 0.000 0.000 -2.870 5.813 0.000 0.000 0.000 11.576" Properties=species:S:1:pos:R:3 comment="GGA-PBE Tb3NdHoEr, optimized geometry" formation_enthalpy_0k_ev_per_atom=0.1244 e_tot_ev_per_atom=-4.51 n_ef_per_ev_atom=1.821 spacegroup=Cmcm pbc="T T T"
Tb 2.870 2.032 5.415
Tb 0.000 3.780 6.161
Tb 0.000 3.780 11.203
Tb 2.870 2.032 0.373
Tb 0.000 1.567 8.682
Tb 2.870 4.246 2.894
Nd 2.870 0.310 8.682
Nd 0.000 5.503 2.894
Ho 0.000 0.000 5.788
Ho 0.000 0.000 0.000
Er 2.870 3.799 8.682
Er 0.000 2.014 2.894

***

# 2
11
Lattice="5.614 0.000 -1.709 -1.073 6.209 -3.526 -0.200 1.117 9.421" Properties=species:S:1:pos:R:3 comment="GGA-PBE La8Cd2Tc, optimized geometry" formation_enthalpy_0k_ev_per_atom=-0.0796 e_tot_ev_per_atom=-4.77 n_ef_per_ev_atom=1.323 spacegroup=Immm pbc="T T T"
La 2.521 5.606 -1.794
La 1.311 4.664 4.308
La 0.798 1.627 2.622
La -0.270 1.560 -0.886
La 3.543 5.699 1.563
La 3.030 2.662 -0.122
La 1.820 1.720 5.980
La 4.611 5.766 5.071
Cd 0.250 4.709 0.822
Cd 4.091 2.618 3.364
Tc 2.807 0.000 -0.854